1.
VASP calculation (GGA-PBE) on Rb4Cl3O2 after structural relaxation.

The structure in extended XYZ format:
```
18
Lattice="7.890 -4.287 0.000 7.890 4.287 0.000 -0.988 0.000 8.874" Properties=species:S:1:pos:R:3 pbc="T T T"
Rb 6.193 2.338 8.615
Rb 3.701 0.299 5.943
Rb 8.104 2.338 4.696
Rb 4.195 -0.299 1.506
Rb 10.596 0.299 7.368
Rb 6.687 -2.338 4.178
Rb 11.090 -0.299 2.931
Rb 8.598 -2.338 0.259
Cl 1.712 0.915 3.393
Cl 1.218 -0.915 7.830
Cl 7.643 0.249 2.218
Cl 7.149 -0.249 6.655
Cl 13.573 0.915 1.044
Cl 13.079 -0.915 5.481
O 3.364 1.907 8.390
O 3.858 -1.907 3.953
O 10.933 1.907 4.921
O 11.427 -1.907 0.484
```

Calculated total energy ... -3.68 eV per atom
Energy relative to the elements, uncorrected ... -1.54 eV per atom
Size of the total moment ... 1.001 μB/f.u.
Space-group type ... C2/c, No. 15


2.
VASP calculation (GGA-PBE) on BaP2IO after structural relaxation.

The structure in extended XYZ format:
```
5
Lattice="6.433 0.000 0.000 0.000 6.433 0.000 0.000 0.000 4.487" Properties=species:S:1:pos:R:3 pbc="T T T"
Ba 0.000 0.000 0.000
P 0.000 3.216 0.000
P 3.216 0.000 0.000
I 3.216 3.216 2.243
O 0.000 0.000 2.243
```

Calculated total energy ... -3.15 eV per atom
Distance to the lowest polymorph of the same formula ... 0.618 eV per atom
Energy relative to the elements, uncorrected ... 0.70 eV per atom
Size of the total moment ... 4.342 μB/f.u.
Space-group type ... P4/mmm, No. 123


3.
VASP calculation (GGA-PBE) on Dy3PuSc2S6 after structural relaxation.

The structure in extended XYZ format:
```
12
Lattice="8.373 -1.914 0.000 8.373 1.914 0.000 -1.768 0.000 7.513" Properties=species:S:1:pos:R:3 pbc="T T T"
Dy 0.000 0.000 0.000
Dy 4.446 0.000 5.007
Dy 10.533 0.000 2.506
Pu -0.884 0.000 3.756
Sc 5.328 0.000 1.307
Sc 9.651 0.000 6.206
S 1.781 0.000 4.465
S 2.740 0.000 0.555
S 7.871 0.000 1.845
S 7.108 0.000 5.668
S 12.239 0.000 6.958
S 13.197 0.000 3.048
```

Calculated total energy ... -7.39 eV per atom
Energy relative to the elements, uncorrected ... -1.92 eV per atom
Size of the total moment ... 5.920 μB/f.u.
Space-group type ... C2/m, No. 12


- Which of these has the lowest calculated total energy?
  Dy3PuSc2S6


- Which formula does entry 2 have?
  BaP2IO